1.
# MgAlPdRu | the Alexandria database | PBE | optimized geometry
# V (Å³/cell): 58.04
# Total DFT energy (no corrections) (Ry per atom): -0.4078
data_MgAlPdRu
_chemical_formula_sum 'Mg1 Al1 Pd1 Ru1'
_cell_length_a 4.346
_cell_length_b 4.346
_cell_length_c 4.346
_cell_angle_alpha 60.00
_cell_angle_beta 60.00
_cell_angle_gamma 60.00
_space_group_name_H-M_alt 'P 1'
_space_group_IT_number 1
_space_group_name_Hall 'P 1'
loop_
_atom_site_label
_atom_site_type_symbol
_atom_site_fract_x
_atom_site_fract_y
_atom_site_fract_z
Ru1 Ru 0.750 0.750 0.750
Mg1 Mg 0.000 0.000 0.000
Al1 Al 0.500 0.500 0.500
Pd1 Pd 0.250 0.250 0.250


2.
# MgScAl2Pd2 | the Alexandria database | PBE | optimized geometry
# V (Å³/cell): 102.40
# Total DFT energy (no corrections) (Ry per atom): -0.3689
data_MgScAl2Pd2
_chemical_formula_sum 'Mg1 Sc1 Al2 Pd2'
_cell_length_a 4.435
_cell_length_b 4.435
_cell_length_c 6.011
_cell_angle_alpha 90.00
_cell_angle_beta 90.00
_cell_angle_gamma 120.00
_space_group_name_H-M_alt 'P 1'
_space_group_IT_number 1
_space_group_name_Hall 'P 1'
loop_
_atom_site_label
_atom_site_type_symbol
_atom_site_fract_x
_atom_site_fract_y
_atom_site_fract_z
Mg1 Mg 0.000 0.000 0.500
Sc1 Sc 0.000 0.000 0.000
Al1 Al 0.333 0.667 0.737
Al2 Al 0.667 0.333 0.263
Pd1 Pd 0.333 0.667 0.260
Pd2 Pd 0.667 0.333 0.740


3.
# MgSc2AlPd4 | the Alexandria database | PBE | optimized geometry
# V (Å³/cell): 133.66
# Total DFT energy (no corrections) (Ry per atom): -0.4212
data_MgSc2AlPd4
_chemical_formula_sum 'Mg1 Sc2 Al1 Pd4'
_cell_length_a 4.547
_cell_length_b 4.547
_cell_length_c 7.914
_cell_angle_alpha 73.31
_cell_angle_beta 73.31
_cell_angle_gamma 60.00
_space_group_name_H-M_alt 'P 1'
_space_group_IT_number 1
_space_group_name_Hall 'P 1'
loop_
_atom_site_label
_atom_site_type_symbol
_atom_site_fract_x
_atom_site_fract_y
_atom_site_fract_z
Mg1 Mg 0.000 0.000 0.000
Sc1 Sc 0.750 0.750 0.749
Sc2 Sc 0.250 0.250 0.251
Al1 Al 0.500 0.500 0.500
Pd1 Pd 0.378 0.378 0.866
Pd2 Pd 0.872 0.872 0.384
Pd3 Pd 0.128 0.128 0.616
Pd4 Pd 0.622 0.622 0.134